1.
This record from Alexandria describes an optimized crystal structure of Sm3Ge2Pt7. The functional is PBE.

```
Sm3Ge2Pt7
1.0
-2.045 2.045 13.975
2.045 -2.045 13.975
2.045 2.045 -13.975
Sm Ge Pt
3 2 7
Direct
0.000 0.000 0.000
0.176 0.176 0.000
0.824 0.824 0.000
0.370 0.370 0.000
0.630 0.630 0.000
0.079 0.579 0.500
0.282 0.282 0.000
0.421 0.921 0.500
0.500 0.500 0.000
0.579 0.079 0.500
0.718 0.718 0.000
0.921 0.421 0.500
```

Energy of formation from the pure elements in eV/atom: -0.93
Energy above the most stable polymorph in this dataset in eV per atom: 0.000
Space group: I4/mmm (139)
Magnetic moment in μB/atom: 0.000

=====

2.
This record from Alexandria describes an optimized crystal structure of Sm2Ge3Pt5. The functional is PBE.

```
Sm2Ge3Pt5
1.0
2.081 -12.456 0.000
2.081 12.456 0.000
0.000 0.000 7.223
Sm Ge Pt
4 6 10
Direct
0.019 0.981 0.500
0.328 0.672 0.450
0.672 0.328 0.950
0.981 0.019 0.000
0.122 0.878 0.274
0.273 0.727 0.908
0.451 0.549 0.329
0.549 0.451 0.829
0.727 0.273 0.408
0.878 0.122 0.774
0.100 0.900 0.771
0.201 0.799 0.625
0.222 0.778 0.209
0.375 0.625 0.007
0.446 0.554 0.694
0.554 0.446 0.194
0.625 0.375 0.507
0.778 0.222 0.709
0.799 0.201 0.125
0.900 0.100 0.271
```

Energy of formation from the pure elements in eV/atom: -0.85
Energy above the most stable polymorph in this dataset in eV per atom: 0.046
Space group: Cmc2_1 (36)
Magnetic moment in μB/atom: 0.000

=====

3.
This record from Alexandria describes an optimized crystal structure of Sm3Ge2Pt7. The functional is PBE.

```
Sm3Ge2Pt7
1.0
2.087 -14.613 0.000
2.087 14.613 0.000
0.000 0.000 4.075
Sm Ge Pt
3 2 7
Direct
0.000 0.000 0.000
0.203 0.797 0.000
0.797 0.203 0.000
0.417 0.583 0.500
0.583 0.417 0.500
0.130 0.870 0.500
0.288 0.712 0.500
0.369 0.631 0.000
0.500 0.500 0.500
0.631 0.369 0.000
0.712 0.288 0.500
0.870 0.130 0.500
```

Energy of formation from the pure elements in eV/atom: -0.82
Energy above the most stable polymorph in this dataset in eV per atom: 0.102
Space group: Cmmm (65)
Magnetic moment in μB/atom: 0.000

=====

4.
This record from Alexandria describes an optimized crystal structure of Sm2Ge3Pt6. The functional is PBE.

```
Sm2Ge3Pt6
1.0
7.472 0.000 0.000
-3.736 6.471 0.000
0.000 0.000 4.338
Sm Ge Pt
2 3 6
Direct
0.333 0.667 0.000
0.667 0.333 0.000
0.000 0.629 0.500
0.371 0.371 0.500
0.629 0.000 0.500
0.000 0.306 0.500
0.000 0.788 0.000
0.212 0.212 0.000
0.306 0.000 0.500
0.694 0.694 0.500
0.788 0.000 0.000
```

Energy of formation from the pure elements in eV/atom: -0.84
Space group: P-62m (189)
Magnetic moment in μB/atom: 0.000

=====

5.
This record from Alexandria describes an optimized crystal structure of Sm3Ge6Pt20. The functional is PBE.

```
Sm3Ge6Pt20
1.0
0.000 6.313 6.313
6.313 0.000 6.313
6.313 6.313 0.000
Sm Ge Pt
3 6 20
Direct
0.000 0.000 0.000
0.250 0.250 0.250
0.750 0.750 0.750
0.267 0.267 0.733
0.267 0.733 0.267
0.267 0.733 0.733
0.733 0.267 0.267
0.733 0.267 0.733
0.733 0.733 0.267
0.000 0.000 0.348
0.000 0.000 0.652
0.000 0.348 0.000
0.000 0.348 0.652
0.000 0.652 0.000
0.000 0.652 0.348
0.148 0.617 0.617
0.348 0.000 0.000
0.348 0.000 0.652
0.348 0.652 0.000
0.383 0.383 0.383
0.383 0.383 0.852
0.383 0.852 0.383
0.617 0.148 0.617
0.617 0.617 0.148
0.617 0.617 0.617
0.652 0.000 0.000
0.652 0.000 0.348
0.652 0.348 0.000
0.852 0.383 0.383
```

Energy of formation from the pure elements in eV/atom: -0.57
Space group: Fm-3m (225)
Magnetic moment in μB/atom: 0.000

=====

6.
This record from Alexandria describes an optimized crystal structure of Sm3Ge2Pt4. The functional is PBE.

```
Sm3Ge2Pt4
1.0
5.297 -2.206 0.000
5.297 2.206 0.000
-3.336 0.000 8.074
Sm Ge Pt
3 2 4
Direct
0.000 0.000 0.000
0.362 0.362 0.309
0.638 0.638 0.691
0.340 0.340 0.673
0.660 0.660 0.327
0.094 0.094 0.414
0.282 0.282 0.927
0.718 0.718 0.073
0.906 0.906 0.586
```

Energy of formation from the pure elements in eV/atom: -1.08
Space group: C2/m (12)
Magnetic moment in μB/atom: 0.000

=====

7.
This record from Alexandria describes an optimized crystal structure of SmGe2Pt8. The functional is PBE.

```
SmGe2Pt8
1.0
5.442 0.000 0.000
0.000 5.442 0.000
0.000 0.000 7.832
Sm Ge Pt
1 2 8
Direct
0.000 0.000 0.000
0.000 0.500 0.500
0.500 0.000 0.500
0.253 0.253 0.287
0.253 0.253 0.713
0.253 0.747 0.287
0.253 0.747 0.713
0.747 0.253 0.287
0.747 0.253 0.713
0.747 0.747 0.287
0.747 0.747 0.713
```

Energy of formation from the pure elements in eV/atom: -0.24
Space group: P4/mmm (123)
Magnetic moment in μB/atom: 0.000

=====

8.
This record from Alexandria describes an optimized crystal structure of Sm3GePt8. The functional is PBE.

```
Sm3GePt8
1.0
2.742 1.583 8.968
-2.742 1.583 8.968
0.000 -3.166 8.968
Sm Ge Pt
3 1 8
Direct
0.000 0.000 0.000
0.132 0.132 0.132
0.525 0.525 0.525
0.667 0.667 0.667
0.073 0.073 0.567
0.073 0.567 0.073
0.082 0.571 0.571
0.321 0.321 0.321
0.567 0.073 0.073
0.571 0.082 0.571
0.571 0.571 0.082
0.823 0.823 0.823
```

Energy of formation from the pure elements in eV/atom: -0.93
Space group: R3m (160)
Magnetic moment in μB/atom: 0.000

=====

9.
This record from Alexandria describes an optimized crystal structure of Sm2SnGePt6. The functional is PBE.

```
Sm2SnGePt6
1.0
5.505 0.000 0.000
2.750 6.024 0.000
2.745 0.135 6.261
Sm Sn Ge Pt
2 1 1 6
Direct
0.031 0.218 0.219
0.969 0.782 0.781
0.500 0.500 0.000
0.500 0.000 0.500
0.011 0.221 0.761
0.337 0.408 0.414
0.492 0.778 0.241
0.508 0.222 0.759
0.663 0.592 0.586
0.989 0.779 0.239
```

Energy of formation from the pure elements in eV/atom: -0.74
Space group: P-1 (2)
Magnetic moment in μB/atom: 0.000

=====

10.
This record from Alexandria describes an optimized crystal structure of Sm3SnGe2Pt9. The functional is PBE.

```
Sm3SnGe2Pt9
1.0
6.514 0.000 0.000
-3.257 5.641 0.000
0.000 0.000 9.415
Sm Sn Ge Pt
3 1 2 9
Direct
0.000 0.000 0.000
0.333 0.667 0.746
0.667 0.333 0.254
0.000 0.000 0.500
0.333 0.667 0.181
0.667 0.333 0.819
0.000 0.500 0.000
0.139 0.279 0.271
0.139 0.861 0.271
0.279 0.139 0.729
0.500 0.000 0.000
0.500 0.500 0.000
0.721 0.861 0.271
0.861 0.139 0.729
0.861 0.721 0.729
```

Energy of formation from the pure elements in eV/atom: -0.59
Space group: P-3m1 (164)
Magnetic moment in μB/atom: 0.000

=====

11.
This record from Alexandria describes an optimized crystal structure of Sm2SnGe3Pt4. The functional is PBE.

```
Sm2SnGe3Pt4
1.0
4.385 0.000 0.000
0.000 4.385 0.000
0.000 0.000 10.419
Sm Sn Ge Pt
2 1 3 4
Direct
0.000 0.500 0.236
0.500 0.000 0.764
0.000 0.000 0.500
0.000 0.500 0.875
0.500 0.000 0.125
0.500 0.500 0.500
0.000 0.000 0.000
0.000 0.500 0.642
0.500 0.000 0.358
0.500 0.500 0.000
```

Energy of formation from the pure elements in eV/atom: -0.88
Space group: P-4m2 (115)
Magnetic moment in μB/atom: 0.000

=====

12.
This record from Alexandria describes an optimized crystal structure of Sm2SnGe4Pt3. The functional is PBE.

```
Sm2SnGe4Pt3
1.0
4.380 0.000 0.000
0.000 4.380 0.000
0.000 0.000 10.547
Sm Sn Ge Pt
2 1 4 3
Direct
0.000 0.500 0.238
0.500 0.000 0.762
0.000 0.000 0.500
0.000 0.000 0.000
0.000 0.500 0.651
0.500 0.000 0.349
0.500 0.500 0.000
0.000 0.500 0.880
0.500 0.000 0.120
0.500 0.500 0.500
```

Energy of formation from the pure elements in eV/atom: -0.75
Space group: P-4m2 (115)
Magnetic moment in μB/atom: 0.000

=====

13.
This record from Alexandria describes an optimized crystal structure of Sr2SmGe3Pt4. The functional is PBE.

```
Sr2SmGe3Pt4
1.0
4.449 0.000 0.000
0.000 4.449 0.000
0.000 0.000 11.062
Sr Sm Ge Pt
2 1 3 4
Direct
0.000 0.500 0.228
0.500 0.000 0.772
0.000 0.000 0.500
0.000 0.500 0.885
0.500 0.000 0.115
0.500 0.500 0.500
0.000 0.000 0.000
0.000 0.500 0.661
0.500 0.000 0.339
0.500 0.500 0.000
```

Energy of formation from the pure elements in eV/atom: -0.85
Space group: P-4m2 (115)
Magnetic moment in μB/atom: 0.000

=====

14.
This record from Alexandria describes an optimized crystal structure of TbSmGePt. The functional is PBE.

```
TbSmGePt
1.0
0.000 3.586 3.586
3.586 0.000 3.586
3.586 3.586 0.000
Tb Sm Ge Pt
1 1 1 1
Direct
0.000 0.000 0.000
0.500 0.500 0.500
0.250 0.250 0.250
0.750 0.750 0.750
```

Energy of formation from the pure elements in eV/atom: -0.90
Energy above the most stable polymorph in this dataset in eV per atom: 0.151
Space group: F-43m (216)
Magnetic moment in μB/atom: 0.000

=====

15.
This record from Alexandria describes an optimized crystal structure of TbSmGePt. The functional is PBE.

```
TbSmGePt
1.0
4.278 0.000 0.000
0.000 2.004 5.516
0.000 -2.004 5.516
Tb Sm Ge Pt
1 1 1 1
Direct
0.000 0.000 0.000
0.500 0.278 0.278
0.000 0.716 0.716
0.500 0.551 0.551
```

Energy of formation from the pure elements in eV/atom: -1.05
Energy above the most stable polymorph in this dataset in eV per atom: 0.000
Space group: Amm2 (38)
Magnetic moment in μB/atom: 0.000

=====

16.
This record from Alexandria describes an optimized crystal structure of TbSm2Ge2Pt7. The functional is PBE.

```
TbSm2Ge2Pt7
1.0
2.910 -2.879 0.000
2.910 2.879 0.000
-2.129 0.000 13.962
Tb Sm Ge Pt
1 2 2 7
Direct
0.000 0.000 0.000
0.116 0.116 0.357
0.884 0.884 0.643
0.405 0.405 0.745
0.595 0.595 0.255
0.058 0.557 0.154
0.372 0.372 0.570
0.443 0.942 0.846
0.500 0.500 0.000
0.557 0.058 0.154
0.628 0.628 0.430
0.942 0.443 0.846
```

Energy of formation from the pure elements in eV/atom: -0.99
Space group: C2/m (12)
Magnetic moment in μB/atom: 0.000

=====

17.
This record from Alexandria describes an optimized crystal structure of TbSmGe2Pt5. The functional is PBE.

```
TbSmGe2Pt5
1.0
4.291 0.000 0.000
0.000 4.291 0.000
0.000 0.000 9.058
Tb Sm Ge Pt
1 1 2 5
Direct
0.000 0.000 0.000
0.000 0.000 0.500
0.500 0.500 0.134
0.500 0.500 0.866
0.000 0.500 0.271
0.000 0.500 0.729
0.500 0.000 0.271
0.500 0.000 0.729
0.500 0.500 0.500
```

Energy of formation from the pure elements in eV/atom: -0.91
Space group: P4/mmm (123)
Magnetic moment in μB/atom: 0.000

=====

18.
This record from Alexandria describes an optimized crystal structure of TbSm2Ge4Pt3. The functional is PBE.

```
TbSm2Ge4Pt3
1.0
4.283 0.000 0.000
0.000 4.283 0.000
0.000 0.000 11.377
Tb Sm Ge Pt
1 2 4 3
Direct
0.000 0.000 0.000
0.000 0.500 0.731
0.500 0.000 0.269
0.000 0.000 0.500
0.000 0.500 0.164
0.500 0.000 0.836
0.500 0.500 0.500
0.000 0.500 0.381
0.500 0.000 0.619
0.500 0.500 0.000
```

Energy of formation from the pure elements in eV/atom: -0.89
Space group: P-4m2 (115)
Magnetic moment in μB/atom: 0.000

=====

19.
This record from Alexandria describes an optimized crystal structure of Sm4GeTe2Pt. The functional is PBE.

```
Sm4GeTe2Pt
1.0
7.420 0.000 0.000
0.000 4.290 0.000
-2.497 0.000 7.317
Sm Ge Te Pt
4 1 2 1
Direct
0.237 0.000 0.217
0.259 0.500 0.777
0.741 0.500 0.223
0.763 0.000 0.783
0.500 0.000 0.000
0.000 0.000 0.500
0.500 0.500 0.500
0.000 0.500 0.000
```

Formation energy from raw total energies in eV per atom: -1.2012
Space group: P2/m (10)
Magnetic moment in μB/atom: 0.000

=====

20.
This record from Alexandria describes an optimized crystal structure of Sm8Ge3Te4Pt. The functional is PBE.

```
Sm8Ge3Te4Pt
1.0
4.312 2.490 7.254
-4.312 2.490 7.254
0.000 -4.979 7.254
Sm Ge Te Pt
8 3 4 1
Direct
0.240 0.741 0.741
0.242 0.242 0.242
0.259 0.259 0.760
0.259 0.760 0.259
0.741 0.240 0.741
0.741 0.741 0.240
0.758 0.758 0.758
0.760 0.259 0.259
0.000 0.000 0.500
0.000 0.500 0.000
0.500 0.000 0.000
0.000 0.000 0.000
0.000 0.500 0.500
0.500 0.000 0.500
0.500 0.500 0.000
0.500 0.500 0.500
```

Formation energy from raw total energies in eV per atom: -1.2041
Space group: R-3m (166)
Magnetic moment in μB/atom: 0.000